No. 1
# MgAlTlSe3

MgAlTlSe3 after structural relaxation (GGA-PBE, Alexandria via LeMat-Bulk).

Cell lengths 3.920, 9.019, 10.328 Å; angles 108.69, 90.00, 90.00 degrees
Positions (direct):
1 Mg 0.250 0.651 0.099
2 Mg 0.750 0.349 0.901
3 Al 0.250 0.092 0.627
4 Al 0.750 0.908 0.373
5 Tl 0.250 0.244 0.217
6 Tl 0.750 0.756 0.783
7 Se 0.750 0.880 0.141
8 Se 0.250 0.120 0.859
9 Se 0.250 0.814 0.473
10 Se 0.750 0.186 0.527
11 Se 0.750 0.482 0.168
12 Se 0.250 0.518 0.832

## Properties
* formation energy without anion corrections: -5.08 eV/f.u.
* final energy: -46.47 eV/cell

***

No. 2
# KAu4

KAu4 after structural relaxation (GGA-PBE, Alexandria via LeMat-Bulk).

Cell lengths 5.477, 5.477, 5.477 Å; angles 90.00, 90.00, 90.00 degrees
Positions (direct):
1 K 0.500 0.500 0.500
2 Au 0.000 0.000 0.000
3 Au 0.500 0.000 0.500
4 Au 0.000 0.500 0.500
5 Au 0.500 0.500 0.000

## Properties
* energy relative to the lowest polymorph listed for this composition: 1492.8 meV per atom
* ΔH_f (0 K): 1.38 eV per atom
* final energy: -7.30 eV/cell

***

> The lowest final energy belongs to which entry?

MgAlTlSe3

***

> What is the formula in the first record?

MgAlTlSe3

***

> Which of these has the highest final energy?

KAu4